No. 1
# ScP3F PBE optimized geometry
data_ScP3F
_symmetry_space_group_name_H-M 'P m -3 m'
_symmetry_Int_Tables_number 221
_symmetry_space_group_name_Hall '-P 4 2 3'
_cell_length_a 4.336
_cell_length_b 4.336
_cell_length_c 4.336
_cell_angle_alpha 90.00
_cell_angle_beta 90.00
_cell_angle_gamma 90.00
loop_
_atom_site_label
_atom_site_type_symbol
_atom_site_fract_x
_atom_site_fract_y
_atom_site_fract_z
Sc1 Sc 0.000 0.000 0.000
P1 P 0.000 0.500 0.500
F1 F 0.500 0.500 0.500
# Fermi-level density of states ... 0.605 states/eV per atom
# E_tot ... -24.59 eV per cell
# ΔE to the lowest computed polymorph ... 0 meV per atom
# ΔE_f (raw) ... -0.032 eV/atom


No. 2
# Cs2PmSO6 PBE optimized geometry
data_Cs2PmSO6
_symmetry_space_group_name_H-M 'P -3 m 1'
_symmetry_Int_Tables_number 164
_symmetry_space_group_name_Hall '-P 3 2"'
_cell_length_a 6.6987
_cell_length_b 6.6987
_cell_length_c 5.7838
_cell_angle_alpha 90.00
_cell_angle_beta 90.00
_cell_angle_gamma 120.00
loop_
_atom_site_label
_atom_site_type_symbol
_atom_site_fract_x
_atom_site_fract_y
_atom_site_fract_z
Cs1 Cs 0.3333 0.6667 0.3769
Pm1 Pm 0.0000 0.0000 0.0000
S1 S 0.0000 0.0000 0.5000
O1 O 0.1191 0.2383 0.6709
# Fermi-level density of states ... 0.172 states/eV per atom
# E_tot ... -55.95 eV per cell
# ΔE_f (raw) ... -1.561 eV/atom


No. 3
# Sr3Ga2BiO8 PBE optimized geometry
data_Sr3Ga2BiO8
_symmetry_space_group_name_H-M 'P -3 m 1'
_symmetry_Int_Tables_number 164
_symmetry_space_group_name_Hall '-P 3 2"'
_cell_length_a 5.9191
_cell_length_b 5.9191
_cell_length_c 7.3025
_cell_angle_alpha 90.00
_cell_angle_beta 90.00
_cell_angle_gamma 120.00
loop_
_atom_site_label
_atom_site_type_symbol
_atom_site_fract_x
_atom_site_fract_y
_atom_site_fract_z
Sr1 Sr 0.0000 0.0000 0.0000
Sr2 Sr 0.3333 0.6667 0.6459
Ga1 Ga 0.3333 0.6667 0.1951
Bi1 Bi 0.0000 0.0000 0.5000
O1 O 0.1699 0.3398 0.3133
O2 O 0.3333 0.6667 0.9536
# Fermi-level density of states ... 0.210 states/eV per atom
# E_tot ... -82.98 eV per cell
# ΔE_f (raw) ... -2.024 eV/atom


No. 4
# UIrS4 PBE optimized geometry
data_UIrS4
_symmetry_space_group_name_H-M 'P 1 21/c 1'
_symmetry_Int_Tables_number 14
_cell_length_a 6.407
_cell_length_b 6.063
_cell_length_c 6.169
_cell_angle_alpha 90.00
_cell_angle_beta 98.24
_cell_angle_gamma 90.00
loop_
_symmetry_equiv_pos_as_xyz
'x,y,z'
'-x,-y,-z'
'-x,y+1/2,-z+1/2'
'x,-y+1/2,z+1/2'
loop_
_atom_site_label
_atom_site_type_symbol
_atom_site_fract_x
_atom_site_fract_y
_atom_site_fract_z
U1 U 0.000 0.000 0.000
Ir1 Ir 0.500 0.000 0.500
S1 S 0.187 0.166 0.374
S2 S 0.323 0.705 0.265
# Fermi-level density of states ... 0.794 states/eV per atom
# E_tot ... -82.02 eV per cell
# ΔE to the lowest computed polymorph ... 188 meV per atom
# ΔE_f (raw) ... -0.725 eV/atom


No. 5
# Pb2SF PBE optimized geometry
data_Pb2SF
_symmetry_space_group_name_H-M 'F m -3 m'
_symmetry_Int_Tables_number 225
_symmetry_space_group_name_Hall '-F 4 2 3'
_cell_length_a 7.075
_cell_length_b 7.075
_cell_length_c 7.075
_cell_angle_alpha 90.00
_cell_angle_beta 90.00
_cell_angle_gamma 90.00
loop_
_atom_site_label
_atom_site_type_symbol
_atom_site_fract_x
_atom_site_fract_y
_atom_site_fract_z
Pb1 Pb 0.250 0.250 0.250
S1 S 0.000 0.000 0.000
F1 F 0.000 0.000 0.500
# Fermi-level density of states ... 0.458 states/eV per atom
# E_tot ... -66.78 eV per cell
# ΔE to the lowest computed polymorph ... 200 meV per atom
# ΔE_f (raw) ... -0.820 eV/atom


No. 6
# Cd2Sb2As PBE optimized geometry
data_Cd2Sb2As
_symmetry_space_group_name_H-M 'I 4/m m m'
_symmetry_Int_Tables_number 139
_symmetry_space_group_name_Hall '-I 4 2'
_cell_length_a 3.970
_cell_length_b 3.970
_cell_length_c 16.996
_cell_angle_alpha 90.00
_cell_angle_beta 90.00
_cell_angle_gamma 90.00
loop_
_atom_site_label
_atom_site_type_symbol
_atom_site_fract_x
_atom_site_fract_y
_atom_site_fract_z
Cd1 Cd 0.000 0.500 0.250
Sb1 Sb 0.000 0.000 0.086
As1 As 0.000 0.000 0.500
# Fermi-level density of states ... 0.571 states/eV per atom
# E_tot ... -26.65 eV per cell
# ΔE to the lowest computed polymorph ... 68 meV per atom
# ΔE_f (raw) ... 0.280 eV/atom


No. 7
# Mg3GeSb PBE optimized geometry
data_Mg3GeSb
_symmetry_space_group_name_H-M 'P m -3 m'
_symmetry_Int_Tables_number 221
_symmetry_space_group_name_Hall '-P 4 2 3'
_cell_length_a 5.035
_cell_length_b 5.035
_cell_length_c 5.035
_cell_angle_alpha 90.00
_cell_angle_beta 90.00
_cell_angle_gamma 90.00
loop_
_atom_site_label
_atom_site_type_symbol
_atom_site_fract_x
_atom_site_fract_y
_atom_site_fract_z
Mg1 Mg 0.000 0.000 0.500
Ge1 Ge 0.000 0.000 0.000
Sb1 Sb 0.500 0.500 0.500
# Fermi-level density of states ... 0.845 states/eV per atom
# E_tot ... -13.54 eV per cell
# ΔE to the lowest computed polymorph ... 0 meV per atom
# ΔE_f (raw) ... -0.003 eV/atom


No. 8
# Al2SbMo PBE optimized geometry
data_Al2SbMo
_symmetry_space_group_name_H-M 'P m m m'
_symmetry_Int_Tables_number 47
_cell_length_a 3.548
_cell_length_b 4.416
_cell_length_c 4.485
_cell_angle_alpha 90.00
_cell_angle_beta 90.00
_cell_angle_gamma 90.00
loop_
_symmetry_equiv_pos_as_xyz
'x,y,z'
'-x,-y,-z'
'-x,-y,z'
'x,y,-z'
'x,-y,-z'
'-x,y,z'
'-x,y,-z'
'x,-y,z'
loop_
_atom_site_label
_atom_site_type_symbol
_atom_site_fract_x
_atom_site_fract_y
_atom_site_fract_z
Al1 Al 0.000 0.000 0.000
Al2 Al 0.500 0.000 0.500
Sb1 Sb 0.000 0.500 0.500
Mo1 Mo 0.500 0.500 0.000
# Fermi-level density of states ... 0.665 states/eV per atom
# E_tot ... -21.37 eV per cell
# ΔE_f (raw) ... 0.267 eV/atom


No. 9
# LiNi3Pd PBE optimized geometry
data_LiNi3Pd
_symmetry_space_group_name_H-M 'P m -3 m'
_symmetry_Int_Tables_number 221
_symmetry_space_group_name_Hall '-P 4 2 3'
_cell_length_a 3.934
_cell_length_b 3.934
_cell_length_c 3.934
_cell_angle_alpha 90.00
_cell_angle_beta 90.00
_cell_angle_gamma 90.00
loop_
_atom_site_label
_atom_site_type_symbol
_atom_site_fract_x
_atom_site_fract_y
_atom_site_fract_z
Li1 Li 0.000 0.000 0.000
Ni1 Ni 0.000 0.000 0.500
Pd1 Pd 0.500 0.500 0.500
# Formation energy ... 0.6677 eV per atom
# Fermi-level density of states ... 1.680 states/eV per atom
# E_tot ... -21.11 eV per cell
# ΔE to the lowest computed polymorph ... 0 meV per atom


No. 10
# RbMg3Cu4Cl12 PBE optimized geometry
data_RbMg3Cu4Cl12
_symmetry_space_group_name_H-M 'R 3 2'
_symmetry_Int_Tables_number 155
_symmetry_space_group_name_Hall 'R 3 2"'
_cell_length_a 13.4812
_cell_length_b 13.4812
_cell_length_c 9.7106
_cell_angle_alpha 90.00
_cell_angle_beta 90.00
_cell_angle_gamma 120.00
loop_
_atom_site_label
_atom_site_type_symbol
_atom_site_fract_x
_atom_site_fract_y
_atom_site_fract_z
Rb1 Rb 0.0000 0.0000 0.0000
Mg1 Mg 0.0000 0.5700 0.0000
Cu1 Cu 0.0000 0.0000 0.5000
Cu2 Cu 0.0000 0.4180 0.5000
Cl1 Cl 0.0000 0.5905 0.5000
Cl2 Cl 0.0000 0.8330 0.5000
Cl3 Cl 0.0591 0.2185 0.1976
# Fermi-level density of states ... 0.521 states/eV per atom
# E_tot ... -205.27 eV per cell
# ΔE_f (raw) ... -1.206 eV/atom


No. 11
# Ba2NbNiTe PBE optimized geometry
data_Ba2NbNiTe
_symmetry_space_group_name_H-M 'P 4/m m m'
_symmetry_Int_Tables_number 123
_symmetry_space_group_name_Hall '-P 4 2'
_cell_length_a 6.125
_cell_length_b 6.125
_cell_length_c 4.671
_cell_angle_alpha 90.00
_cell_angle_beta 90.00
_cell_angle_gamma 90.00
loop_
_atom_site_label
_atom_site_type_symbol
_atom_site_fract_x
_atom_site_fract_y
_atom_site_fract_z
Ba1 Ba 0.000 0.500 0.000
Nb1 Nb 0.000 0.000 0.500
Ni1 Ni 0.000 0.000 0.000
Te1 Te 0.500 0.500 0.500
# Fermi-level density of states ... 0.919 states/eV per atom
# E_tot ... -22.72 eV per cell
# ΔE_f (raw) ... 0.023 eV/atom


No. 12
# AcTmMg2Ag4 PBE optimized geometry
data_AcTmMg2Ag4
_symmetry_space_group_name_H-M 'R -3 m'
_symmetry_Int_Tables_number 166
_symmetry_space_group_name_Hall '-R 3 2"'
_cell_length_a 4.8301
_cell_length_b 4.8301
_cell_length_c 28.1535
_cell_angle_alpha 90.00
_cell_angle_beta 90.00
_cell_angle_gamma 120.00
loop_
_atom_site_label
_atom_site_type_symbol
_atom_site_fract_x
_atom_site_fract_y
_atom_site_fract_z
Ac1 Ac 0.0000 0.0000 0.0000
Tm1 Tm 0.0000 0.0000 0.5000
Mg1 Mg 0.0000 0.0000 0.2389
Ag1 Ag 0.0000 0.0000 0.1204
Ag2 Ag 0.0000 0.0000 0.3975
# Formation energy ... -0.2705 eV per atom
# Fermi-level density of states ... 0.685 states/eV per atom
# E_tot ... -76.01 eV per cell


Please write out number 11 again, unchanged.
# Ba2NbNiTe PBE optimized geometry
data_Ba2NbNiTe
_symmetry_space_group_name_H-M 'P 4/m m m'
_symmetry_Int_Tables_number 123
_symmetry_space_group_name_Hall '-P 4 2'
_cell_length_a 6.125
_cell_length_b 6.125
_cell_length_c 4.671
_cell_angle_alpha 90.00
_cell_angle_beta 90.00
_cell_angle_gamma 90.00
loop_
_atom_site_label
_atom_site_type_symbol
_atom_site_fract_x
_atom_site_fract_y
_atom_site_fract_z
Ba1 Ba 0.000 0.500 0.000
Nb1 Nb 0.000 0.000 0.500
Ni1 Ni 0.000 0.000 0.000
Te1 Te 0.500 0.500 0.500
# Fermi-level density of states ... 0.919 states/eV per atom
# E_tot ... -22.72 eV per cell
# ΔE_f (raw) ... 0.023 eV/atom


Copy entry 6 word for word.
# Cd2Sb2As PBE optimized geometry
data_Cd2Sb2As
_symmetry_space_group_name_H-M 'I 4/m m m'
_symmetry_Int_Tables_number 139
_symmetry_space_group_name_Hall '-I 4 2'
_cell_length_a 3.970
_cell_length_b 3.970
_cell_length_c 16.996
_cell_angle_alpha 90.00
_cell_angle_beta 90.00
_cell_angle_gamma 90.00
loop_
_atom_site_label
_atom_site_type_symbol
_atom_site_fract_x
_atom_site_fract_y
_atom_site_fract_z
Cd1 Cd 0.000 0.500 0.250
Sb1 Sb 0.000 0.000 0.086
As1 As 0.000 0.000 0.500
# Fermi-level density of states ... 0.571 states/eV per atom
# E_tot ... -26.65 eV per cell
# ΔE to the lowest computed polymorph ... 68 meV per atom
# ΔE_f (raw) ... 0.280 eV/atom